Material: BaSbRu2
Method: DFT, GGA-PBE
State: optimized geometry

```
data_BaSbRu2
_chemical_formula_sum 'Ba1 Sb1 Ru2'
_symmetry_space_group_name_H-M 'P 4/m m m'
_symmetry_Int_Tables_number 123
_symmetry_space_group_name_Hall '-P 4 2'
_cell_length_a 3.340
_cell_length_b 3.340
_cell_length_c 7.611
_cell_angle_alpha 90.00
_cell_angle_beta 90.00
_cell_angle_gamma 90.00
loop_
_atom_site_label
_atom_site_type_symbol
_atom_site_fract_x
_atom_site_fract_y
_atom_site_fract_z
Ba1 Ba 0.000 0.000 0.000
Sb1 Sb 0.000 0.000 0.500
Ru1 Ru 0.500 0.500 0.313
```

The formation energy (no corrections) is 0.343 eV per atom. The size of the total moment is 0.00 μB per cell. The calculation puts the volume at 21.2 Å³ per atom. The value obtained for the density of states at the Fermi level is 5.5 states/eV/cell.